A geometry-optimized NiSbP2O structure. Source: Alexandria via LeMat-Bulk, functional PBE with a Hubbard U.

Energy (eV per atom): -3.717
DOS(E_F) (states/eV/f.u.): 3.58
Space group: P4/mmm (123)

Cell: 5.1271 5.1271 3.8536 Å, 90.00 90.00 90.00°
Closest atoms and distances in Å follow each position.
Fractional coordinates of all 5 atoms:
Sb (0.0000, 0.0000, 0.0000)  2 O 1.93
O (0.0000, 0.0000, 0.5000)  2 Sb 1.93
P (0.0000, 0.5000, 0.0000)  2 Sb 2.56
P (0.5000, 0.0000, 0.0000)  2 Sb 2.56
Ni (0.5000, 0.5000, 0.5000)  8 P 3.21